MnReTcRu | PBE | optimized geometry

abc: 4.3266 4.3266 4.3266
angles: 60.00 60.00 60.00
Site moments in Bohr magnetons follow the coordinates.
Element x y z (fractional)
Re 0.5000 0.5000 0.5000  0.02
Ru 0.2500 0.2500 0.2500  0.36
Mn 0.0000 0.0000 0.0000  3.24
Tc 0.7500 0.7500 0.7500  0.09

- E_form (eV per formula unit) = 0.53
- space group = F-43m, No. 216

***

MnVReRu | PBE | optimized geometry

abc: 4.2595 4.2595 4.2595
angles: 60.00 60.00 60.00
Site moments in Bohr magnetons follow the coordinates.
Element x y z (fractional)
V 0.5000 0.5000 0.5000  0.31
Mn 0.0000 0.0000 0.0000  2.67
Ru 0.7500 0.7500 0.7500  0.18
Re 0.2500 0.2500 0.2500  -0.33

- E_form (eV per formula unit) = -0.44
- space group = F-43m, No. 216

***

MnZnReRu | PBE | optimized geometry

abc: 4.2348 4.2348 4.2348
angles: 60.00 60.00 60.00
Element x y z (fractional)
Mn 0.7500 0.7500 0.7500
Ru 0.2500 0.2500 0.2500
Re 0.0000 0.0000 0.0000
Zn 0.5000 0.5000 0.5000

- E_form (eV per formula unit) = 0.51
- space group = F-43m, No. 216

***

MnReS | PBE | optimized geometry

abc: 3.9957 2.9048 6.8461
angles: 90.00 90.00 90.00
Site moments in Bohr magnetons follow the coordinates.
Element x y z (fractional)
Re 0.5000 0.0000 0.8543  -0.17
Re 0.0000 0.5000 0.3543  -0.17
S 0.0000 0.0000 0.6441  -0.01
S 0.5000 0.5000 0.1441  -0.01
Mn 0.0000 0.5000 0.9874  0.78
Mn 0.5000 0.0000 0.4874  0.78

- polymorph energy (0 for the lowest one) (meV per atom) = 377.4
- space group = Imm2, No. 44

***

Sequential volume output: 14.32, 13.66, 13.42, 13.24 A^3/atom
Sequential mass density output: 12.76, 11.95, 12.60, 11.42 g/cm³
Sequential magnetization output: 3.8, 2.9, 0.0, 1.2 μB per cell